UInPd: optimized geometry, PBE.

Geometry as CIF:
```
data_UInPd
_symmetry_space_group_name_H-M 'P -6 2 m'
_symmetry_Int_Tables_number 189
_symmetry_space_group_name_Hall 'P -6 -2'
_cell_length_a 7.2770
_cell_length_b 7.2770
_cell_length_c 4.2883
_cell_angle_alpha 90.00
_cell_angle_beta 90.00
_cell_angle_gamma 120.00
loop_
_atom_site_label
_atom_site_type_symbol
_atom_site_fract_x
_atom_site_fract_y
_atom_site_fract_z
U1 U 0.0000 0.5750 0.0000
In1 In 0.0000 0.2453 0.5000
Pd1 Pd 0.0000 0.0000 0.0000
Pd2 Pd 0.3333 0.6667 0.5000
```

Computed properties:
M_tot: 7.35 Bohr magnetons per cell
Mass density: 11634 kg/m3
Energy: -6.62 eV per atom